This record from Alexandria via LeMat-Bulk describes a geometry-optimized K3B2PdO6 structure. The functional is PBE.

Calculated values
Magnetic moment (μB per formula unit): 0.00
Volume (Å³/cell): 171.3
Total energy (eV/atom): -5.964
Formation energy from raw total energies (eV per atom): -1.67

Unit cell a=5.4004 b=5.4004 c=6.7807 alpha=90.00 beta=90.00 gamma=120.00
Space group P-3m1 (No. 164)
Unique sites:
K 0.0000 0.0000 0.0000 [1 per cell]
K 0.3333 0.6667 0.7420 [2 per cell]
B 0.3333 0.6667 0.3168 [2 per cell]
Pd 0.0000 0.0000 0.5000 [1 per cell]
O 0.1842 0.3684 0.3040 [6 per cell]